[1]
This record from Alexandria via LeMat-Bulk describes a relaxed CuI2NF crystal. The functional is PBE.

a = 5.526 Å, b = 5.526 Å, c = 3.577 Å
α = 90.00°, β = 90.00°, γ = 90.00°
Site moments in Bohr magnetons follow the coordinates.
Atoms (fractional coordinates):
I: 0.000 0.500 0.000  -0.22
I: 0.500 0.000 0.000  -0.22
N: 0.000 0.000 0.500  0.94
Cu: 0.000 0.000 0.000  0.21
F: 0.500 0.500 0.500  -0.35

## Properties
symmetry = P4/mmm, No. 123
E_form (uncorrected) = 0.668 eV/atom
crystal system = tetragonal
ΔE to the lowest computed polymorph = 0 meV/atom

[2]
This record from Alexandria via LeMat-Bulk describes a relaxed CuINF2 crystal. The functional is PBE.

a = 4.704 Å, b = 4.704 Å, c = 4.018 Å
α = 90.00°, β = 90.00°, γ = 90.00°
Atoms (fractional coordinates):
I: 0.000 0.000 0.000
N: 0.000 0.000 0.500
Cu: 0.500 0.500 0.500
F: 0.000 0.500 0.000
F: 0.500 0.000 0.000

## Properties
symmetry = P4/mmm, No. 123
E_form (uncorrected) = 0.479 eV/atom
crystal system = tetragonal
ΔE to the lowest computed polymorph = 487 meV/atom

[3]
This record from Alexandria via LeMat-Bulk describes a relaxed CuI2NF crystal. The functional is PBE.

a = 6.183 Å, b = 6.183 Å, c = 3.206 Å
α = 90.00°, β = 90.00°, γ = 90.00°
Atoms (fractional coordinates):
I: 0.000 0.500 0.000
I: 0.500 0.000 0.000
N: 0.000 0.000 0.500
Cu: 0.500 0.500 0.500
F: 0.000 0.000 0.000

## Properties
symmetry = P4/mmm, No. 123
E_form (uncorrected) = 1.291 eV/atom
crystal system = tetragonal
ΔE to the lowest computed polymorph = 622 meV/atom

[4]
This record from Alexandria via LeMat-Bulk describes a relaxed CuINF2 crystal. The functional is PBE.

a = 3.676 Å, b = 3.676 Å, c = 5.890 Å
α = 90.00°, β = 90.00°, γ = 90.00°
Site moments in Bohr magnetons follow the coordinates.
Atoms (fractional coordinates):
I: 0.500 0.500 0.500  -0.08
N: 0.000 0.000 0.500  -0.56
Cu: 0.000 0.000 0.000  -0.03
F: 0.000 0.500 0.000  0.00
F: 0.500 0.000 0.000  0.00

## Properties
symmetry = P4/mmm, No. 123
E_form (uncorrected) = -0.008 eV/atom
crystal system = tetragonal
ΔE to the lowest computed polymorph = 0 meV/atom